A relaxed Pr14SmTm crystal. Source: Alexandria, functional GGA-PBE.

```
Pr14SmTm
1.0
7.382 0.000 0.000
0.000 7.382 0.000
0.000 0.000 10.461
Pr Sm Tm
14 1 1
direct
0.000 0.000 0.000
0.000 0.500 0.000
0.000 0.500 0.500
0.249 0.249 0.253
0.249 0.249 0.747
0.249 0.751 0.253
0.249 0.751 0.747
0.500 0.000 0.000
0.500 0.000 0.500
0.500 0.500 0.000
0.751 0.249 0.253
0.751 0.249 0.747
0.751 0.751 0.253
0.751 0.751 0.747
0.500 0.500 0.500
0.000 0.000 0.500
```

## Properties
Its density of states at the Fermi level is 25.3 states/eV/cell. As for the energy of formation from the pure elements: 0.01 eV/atom. As for the crystal system: tetragonal. The space group is P4/mmm.


A relaxed LiTc crystal. Source: Alexandria, functional GGA-PBE.

```
LiTc
1.0
4.964 0.000 0.000
0.000 9.226 0.000
0.000 0.000 2.478
Li Tc
4 4
direct
0.250 0.000 0.000
0.250 0.500 0.000
0.750 0.000 0.000
0.750 0.500 0.000
0.000 0.250 0.423
0.000 0.750 0.577
0.500 0.250 0.577
0.500 0.750 0.423
```

## Properties
Its density of states at the Fermi level is 5.8 states/eV/cell. As for the energy of formation from the pure elements: 0.26 eV/atom. As for the crystal system: orthorhombic. The space group is Cmme.


> Look up the energy of formation from the pure elements of the first one.

0.01 eV/atom


Repeat the first record exactly.
A relaxed Pr14SmTm crystal. Source: Alexandria, functional GGA-PBE.

```
Pr14SmTm
1.0
7.382 0.000 0.000
0.000 7.382 0.000
0.000 0.000 10.461
Pr Sm Tm
14 1 1
direct
0.000 0.000 0.000
0.000 0.500 0.000
0.000 0.500 0.500
0.249 0.249 0.253
0.249 0.249 0.747
0.249 0.751 0.253
0.249 0.751 0.747
0.500 0.000 0.000
0.500 0.000 0.500
0.500 0.500 0.000
0.751 0.249 0.253
0.751 0.249 0.747
0.751 0.751 0.253
0.751 0.751 0.747
0.500 0.500 0.500
0.000 0.000 0.500
```

## Properties
Its density of states at the Fermi level is 25.3 states/eV/cell. As for the energy of formation from the pure elements: 0.01 eV/atom. As for the crystal system: tetragonal. The space group is P4/mmm.


> Among the records above, which one has the highest energy of formation from the pure elements?

LiTc